1.
The following is a DFT calculation (GGA-PBE) of a geometry-optimized NbCr2Cl structure.

## Properties
As for the total magnetization: 8.0 Bohr magnetons per cell. Its space group is I-42d. The calculation puts the density of states at the Fermi level at 3.43 states/eV/f.u. The polymorph energy (0 for the lowest one) comes out at 0 meV per atom.

a b c (Å): 6.969 6.969 5.552
angles (deg): 51.13 51.13 90.00
Fractional positions:
Cr  0.555  0.125  0.250
Cr  0.195  0.625  0.250
Cr  0.375  0.445  0.750
Cr  0.875  0.805  0.750
Nb  0.000  0.000  0.000
Nb  0.750  0.250  0.500
Cl  0.500  0.500  0.000
Cl  0.250  0.750  0.500

=====

2.
The following is a DFT calculation (GGA-PBE) of a geometry-optimized Nb3CrCl structure.

## Properties
As for the total magnetization: 2.1 Bohr magnetons per cell. Its space group is Pm-3m. The calculation puts the density of states at the Fermi level at 7.53 states/eV/f.u. The polymorph energy (0 for the lowest one) comes out at 0 meV per atom.

a b c (Å): 4.560 4.560 4.560
angles (deg): 90.00 90.00 90.00
Fractional positions:
Cr  0.500  0.500  0.500
Nb  0.000  0.500  0.000
Nb  0.000  0.000  0.500
Nb  0.500  0.000  0.000
Cl  0.000  0.000  0.000

=====

3.
The following is a DFT calculation (GGA-PBE) of a geometry-optimized NbCrCl3 structure.

## Properties
As for the total magnetization: 0.3 Bohr magnetons per cell. Its space group is Pm-3m. The calculation puts the density of states at the Fermi level at 7.15 states/eV/f.u. The polymorph energy (0 for the lowest one) comes out at 204 meV per atom.

a b c (Å): 4.851 4.851 4.851
angles (deg): 90.00 90.00 90.00
Fractional positions:
Cr  0.000  0.000  0.000
Nb  0.500  0.500  0.500
Cl  0.000  0.500  0.000
Cl  0.000  0.000  0.500
Cl  0.500  0.000  0.000

=====

4.
The following is a DFT calculation (GGA-PBE) of a geometry-optimized NbCr2Cl structure.

## Properties
As for the total magnetization: 4.8 Bohr magnetons per cell. Its space group is Fm-3m. The calculation puts the density of states at the Fermi level at 4.38 states/eV/f.u. The polymorph energy (0 for the lowest one) comes out at 169 meV per atom.

a b c (Å): 4.499 4.499 4.499
angles (deg): 60.00 60.00 60.00
Fractional positions:
Cr  0.250  0.250  0.250
Cr  0.750  0.750  0.750
Nb  0.500  0.500  0.500
Cl  0.000  0.000  0.000

=====

Energy relative to the elements, uncorrected, record by record: 17.10 18.56 2.29 21.00 kcal/mol of atoms